DFT (PBE) results for a relaxed CaTl2SiTe4 crystal.

a = 8.9595 Å, b = 8.9595 Å, c = 8.9595 Å
α = 121.38°, β = 118.20°, γ = 90.39°
Atoms (fractional coordinates):
Ca  0.0000  0.0000  0.0000
Ca  0.5000  0.0000  0.5000
Tl  0.0000  0.5000  0.5000
Tl  0.5000  0.0000  0.0000
Tl  0.5000  0.5000  0.0000
Tl  0.5000  0.5000  0.5000
Si  0.0000  0.0000  0.5000
Si  0.0000  0.5000  0.0000
Te  0.2024  0.2461  0.9563
Te  0.2102  0.7539  0.4563
Te  0.2246  0.2145  0.4900
Te  0.2246  0.7346  0.0100
Te  0.7754  0.2654  0.9900
Te  0.7754  0.7855  0.5100
Te  0.7898  0.2461  0.5437
Te  0.7976  0.7539  0.0437

Output
Formation energy (no corrections) in meV/atom: -397.4
Calculated volume in Å³/cell: 509.7
Magnetic moment in μB per formula unit: 0.000